# DyTm3Cu2, optimized geometry, DFT PBE-GGA
data_DyTm3Cu2
_space_group_name_H-M_alt 'P 4/m m m'
_space_group_IT_number 123
_space_group_name_Hall '-P 4 2'
_cell_length_a 3.4404
_cell_length_b 3.4404
_cell_length_c 11.9360
_cell_angle_alpha 90.00
_cell_angle_beta 90.00
_cell_angle_gamma 90.00
loop_
_atom_site_label
_atom_site_fract_x
_atom_site_fract_y
_atom_site_fract_z
Dy1 0.0000 0.0000 0.0000
Tm1 0.5000 0.5000 0.2160
Tm2 0.5000 0.5000 0.5000
Cu1 0.0000 0.0000 0.3567
# offset from the most stable computed form = 0.0000 eV/atom
# raw total energy = -4.55 eV/atom
# calculated formation energy = -0.18 eV per atom

# DyTm2Cu6, optimized geometry, DFT PBE-GGA
data_DyTm2Cu6
_space_group_name_H-M_alt 'P 6/m m m'
_space_group_IT_number 191
_space_group_name_Hall '-P 6 2'
_cell_length_a 7.3032
_cell_length_b 7.3032
_cell_length_c 3.4996
_cell_angle_alpha 90.00
_cell_angle_beta 90.00
_cell_angle_gamma 120.00
loop_
_atom_site_label
_atom_site_fract_x
_atom_site_fract_y
_atom_site_fract_z
Dy1 0.0000 0.0000 0.0000
Tm1 0.3333 0.6667 0.0000
Cu1 0.0000 0.3343 0.5000
# raw total energy = -4.50 eV/atom
# calculated formation energy = -0.26 eV per atom

# Dy3TmCu2, optimized geometry, DFT PBE-GGA
data_Dy3TmCu2
_space_group_name_H-M_alt 'P m c 21'
_space_group_IT_number 26
_space_group_name_Hall 'P 2c -2'
_cell_length_a 4.8936
_cell_length_b 8.6801
_cell_length_c 6.8347
_cell_angle_alpha 90.00
_cell_angle_beta 90.00
_cell_angle_gamma 90.00
loop_
_atom_site_label
_atom_site_fract_x
_atom_site_fract_y
_atom_site_fract_z
Dy1 0.0000 0.0756 0.0000
Dy2 0.0000 0.3360 0.3677
Dy3 0.5000 0.1658 0.6580
Tm1 0.5000 0.4260 0.0269
Cu1 0.0000 0.3493 0.7745
Cu2 0.5000 0.1538 0.2512
# offset from the most stable computed form = 0.0000 eV/atom
# raw total energy = -4.58 eV/atom
# calculated formation energy = -0.17 eV per atom